Density functional theory data (PBE) for a geometry-optimized Ac2Nd5Y structure.

The structure in CIF format:
```
data_Ac2Nd5Y
_chemical_formula_sum 'Ac4 Nd10 Y2'
_cell_length_a 7.479
_cell_length_b 14.987
_cell_length_c 5.287
_cell_angle_alpha 90.00
_cell_angle_beta 90.00
_cell_angle_gamma 90.00
_space_group_name_H-M_alt 'P b a m'
_space_group_IT_number 55
loop_
_space_group_symop_operation_xyz
'x,y,z'
'-x,-y,-z'
'-x,-y,z'
'x,y,-z'
'x+1/2,-y+1/2,-z'
'-x+1/2,y+1/2,z'
'-x+1/2,y+1/2,-z'
'x+1/2,-y+1/2,z'
loop_
_atom_site_label
_atom_site_type_symbol
_atom_site_fract_x
_atom_site_fract_y
_atom_site_fract_z
Ac1 Ac 0.248 0.125 0.000
Nd1 Nd 0.000 0.500 0.500
Nd2 Nd 0.003 0.751 0.500
Nd3 Nd 0.248 0.375 0.000
Y1 Y 0.000 0.000 0.500
```

## Properties
Energy relative to the lowest polymorph listed for this composition ... 0 meV/atom
Magnetization ... 0.00 μB per formula unit